1.
DFT (PBE) results for a geometry-optimized Ti4BCl5 structure.

a = 8.0946 Å, b = 8.0946 Å, c = 7.1573 Å
α = 102.94°, β = 102.94°, γ = 23.94°
With the nearest neighbours (Å) after each atom.
Element x y z (fractional)
Ti 0.0010 0.0010 0.3015  2 B 2.20
Ti 0.3648 0.3648 0.4316  1 B 2.08
Ti 0.6352 0.6352 0.5684  1 B 2.08
Ti 0.9990 0.9990 0.6985  2 B 2.20
B 0.5000 0.5000 0.5000  6 Ti 2.08-2.20
Cl 0.1582 0.1582 0.8260  3 Ti 2.46-2.48
Cl 0.1649 0.1649 0.3360  3 Ti 2.48-2.55
Cl 0.5000 0.5000 0.0000  4 Ti 2.73
Cl 0.8351 0.8351 0.6640  3 Ti 2.48-2.55
Cl 0.8418 0.8418 0.1740  3 Ti 2.46-2.48

Values from the calculation:
volume = 18.524 Å³/atom
symmetry = No. 12
final energy = -60.29 eV for the cell shown
Fermi-level density of states = 2.969 states/eV per cell

2.
DFT (PBE) results for a geometry-optimized TiB3Cl structure.

a = 4.4498 Å, b = 4.4498 Å, c = 4.4498 Å
α = 90.00°, β = 90.00°, γ = 90.00°
With the nearest neighbours (Å) after each atom.
Element x y z (fractional)
Ti 0.0000 0.0000 0.0000  6 B 2.22
B 0.0000 0.0000 0.5000  2 Ti 2.22
B 0.0000 0.5000 0.0000  2 Ti 2.22
B 0.5000 0.0000 0.0000  2 Ti 2.22
Cl 0.5000 0.5000 0.5000  12 B 3.15

Values from the calculation:
volume = 17.622 Å³/atom
energy above the most stable polymorph in this dataset = 0 meV per atom
symmetry = No. 221
final energy = -20.16 eV for the cell shown
Fermi-level density of states = 5.969 states/eV per cell

3.
DFT (PBE) results for a geometry-optimized Ti3BCl3 structure.

a = 10.0416 Å, b = 10.0416 Å, c = 10.0416 Å
α = 33.03°, β = 33.03°, γ = 33.03°
With the nearest neighbours (Å) after each atom.
Element x y z (fractional)
Ti 0.0421 0.3990 0.6853  2 B 2.20, 1 Cl 2.42
Ti 0.3147 0.9578 0.6010  2 B 2.20, 1 Cl 2.42
Ti 0.3990 0.6853 0.0422  2 B 2.20, 1 Cl 2.42
Ti 0.6010 0.3147 0.9578  2 B 2.20, 1 Cl 2.42
Ti 0.6853 0.0422 0.3990  2 B 2.20, 1 Cl 2.42
Ti 0.9579 0.6010 0.3147  2 B 2.20, 1 Cl 2.42
B 0.3333 0.3333 0.3333  6 Ti 2.20
B 0.6667 0.6667 0.6667  6 Ti 2.20
Cl 0.0986 0.7721 0.4251  3 Ti 2.42-2.53
Cl 0.2279 0.5749 0.9014  3 Ti 2.42-2.53
Cl 0.4251 0.0986 0.7721  3 Ti 2.42-2.53
Cl 0.5749 0.9014 0.2279  3 Ti 2.42-2.53
Cl 0.7721 0.4251 0.0986  3 Ti 2.42-2.53
Cl 0.9014 0.2279 0.5749  3 Ti 2.42-2.53

Values from the calculation:
volume = 19.127 Å³/atom
symmetry = No. 148
final energy = -88.67 eV for the cell shown
Fermi-level density of states = 5.399 states/eV per cell

4.
DFT (PBE) results for a geometry-optimized TiB2Cl structure.

a = 4.1485 Å, b = 4.1485 Å, c = 4.1485 Å
α = 60.00°, β = 60.00°, γ = 60.00°
With the nearest neighbours (Å) after each atom.
Element x y z (fractional)
Ti 0.0000 0.0000 0.0000  8 B 2.54
B 0.2500 0.2500 0.2500  4 Cl 2.54, 4 Ti 2.54
B 0.7500 0.7500 0.7500  4 Cl 2.54, 4 Ti 2.54
Cl 0.5000 0.5000 0.5000  8 B 2.54

Values from the calculation:
volume = 12.621 Å³/atom
energy above the most stable polymorph in this dataset = 419 meV per atom
symmetry = No. 225
final energy = -16.81 eV for the cell shown
Fermi-level density of states = 5.861 states/eV per cell

Q: What is the final energy in the third record?
A: -88.67 eV for the cell shown

Q: What is the Fermi-level density of states in the fourth record?
A: 5.861 states/eV per cell

Q: What is the formula in the second record?
A: TiB3Cl